# 1
DFT (PBE-GGA) results for crystalline LaPmIr4 at its relaxed geometry.

ρ: 15.3 Mg/m³
ΔE_f: -0.7170 eV per atom
space group: F-43m, No. 216
total magnetic moment: 0.00 μB per formula unit

a b c (Å): 5.448 5.448 5.448
angles (deg): 60.00 60.00 60.00
Sites, in units of the cell vectors:
Ir1 0.625 0.125 0.625
Ir2 0.125 0.625 0.625
Ir3 0.625 0.625 0.625
Ir4 0.625 0.625 0.125
Pm1 0.000 0.000 0.000
La1 0.250 0.250 0.250

# 2
DFT (PBE-GGA) results for crystalline Pr6Ge3Se2S at its relaxed geometry.

ρ: 6.2 Mg/m³
E_form (uncorrected): -16.84 eV per formula unit
space group: C2/m, No. 12
total magnetic moment: 0.00 μB per formula unit

a b c (Å): 4.292 8.601 9.608
angles (deg): 103.36 102.91 90.00
Sites, in units of the cell vectors:
S1 0.500 0.000 0.000
Pr1 0.335 0.412 0.670
Pr2 0.666 0.078 0.331
Pr3 0.334 0.922 0.669
Pr4 0.998 0.249 0.996
Pr5 0.002 0.751 0.004
Pr6 0.665 0.588 0.330
Ge1 0.833 0.165 0.665
Ge2 0.500 0.500 0.000
Ge3 0.167 0.835 0.335
Se1 0.166 0.333 0.332
Se2 0.834 0.667 0.668

# 3
DFT (PBE-GGA) results for crystalline HfMnZn2Ir at its relaxed geometry.

ρ: 10.4 Mg/m³
ΔE_f: 0.5602 eV per atom
space group: P4/mmm, No. 123
total magnetic moment: 0.98 μB per formula unit

a b c (Å): 4.441 4.501 4.441
angles (deg): 90.00 90.00 90.00
Site moments in Bohr magnetons follow the coordinates.
Sites, in units of the cell vectors:
Mn1 0.000 0.000 0.000  1.05
Hf1 0.500 0.500 0.500  -0.04
Zn1 0.000 0.000 0.500  0.01
Zn2 0.500 0.000 0.000  -0.02
Ir1 0.000 0.500 0.000  0.00